(1)
Density functional theory data (PBE) for a relaxed structure of ScRe2Ru.

a = 9.056 Å, b = 9.056 Å, c = 9.056 Å
α = 18.21°, β = 18.21°, γ = 18.21°
Atoms (fractional coordinates):
Re 0.996 0.996 0.996
Re 0.250 0.250 0.250
Ru 0.503 0.503 0.503
Sc 0.752 0.752 0.752

**E_form**: 0.134 eV per atom
**ΔE to the lowest computed polymorph**: 0.238 eV/atom

***

(2)
Density functional theory data (PBE) for a relaxed structure of ScRe2Ru.

a = 5.216 Å, b = 5.216 Å, c = 4.568 Å
α = 75.10°, β = 75.10°, γ = 32.11°
Atoms (fractional coordinates):
Re 0.020 0.020 0.978
Re 0.480 0.480 0.522
Ru 0.750 0.750 0.750
Sc 0.250 0.250 0.250

**E_form**: -0.021 eV per atom
**ΔE to the lowest computed polymorph**: 0.082 eV/atom

***

Q: The lowest ΔE to the lowest computed polymorph belongs to which entry?
A: number 2